Entry 1:
First-principles (PBE) data for Na2Sn5Pb after structural relaxation, as listed in Alexandria via LeMat-Bulk.

## Properties
- Calculated formation energy: -79.2 kJ/mol of formula units
- Final energy: -27.2 eV/cell

Lattice parameters (Å, degrees): 6.680 6.680 6.802 119.42 119.42 89.99
Element x y z (fractional)
Na1 0.722 0.222 0.445
Na2 0.222 0.722 0.445
Pb1 0.222 0.222 0.444
Sn1 0.222 0.722 0.945
Sn2 0.721 0.721 0.442
Sn3 0.222 0.222 0.945
Sn4 0.722 0.722 0.944
Sn5 0.722 0.222 0.945

Entry 2:
First-principles (PBE) data for NaSn4Pb after structural relaxation, as listed in Alexandria via LeMat-Bulk.

## Properties
- Calculated formation energy: 4.3 kJ/mol of formula units
- Final energy: -21.0 eV/cell

Lattice parameters (Å, degrees): 6.328 6.328 6.328 60.00 60.00 60.00
Element x y z (fractional)
Sn1 0.625 0.125 0.625
Sn2 0.625 0.625 0.625
Sn3 0.125 0.625 0.625
Sn4 0.625 0.625 0.125
Pb1 0.250 0.250 0.250
Na1 0.000 0.000 0.000

Entry 3:
First-principles (PBE) data for Na2Sn2Pb7 after structural relaxation, as listed in Alexandria via LeMat-Bulk.

## Properties
- Calculated formation energy: 26.1 kJ/mol of formula units
- Final energy: -36.3 eV/cell

Lattice parameters (Å, degrees): 7.896 7.194 7.194 118.69 96.04 96.04
Element x y z (fractional)
Pb1 0.829 0.076 0.584
Pb2 0.171 0.924 0.416
Pb3 0.000 0.000 0.000
Pb4 0.171 0.416 0.924
Pb5 0.637 0.698 0.698
Pb6 0.829 0.584 0.076
Pb7 0.363 0.302 0.302
Sn1 0.184 0.638 0.638
Sn2 0.816 0.362 0.362
Na1 0.500 0.843 0.157
Na2 0.500 0.157 0.843

Entry 4:
First-principles (PBE) data for NaSn3Pb6 after structural relaxation, as listed in Alexandria via LeMat-Bulk.

## Properties
- Calculated formation energy: 35.6 kJ/mol of formula units
- Final energy: -70.4 eV/cell

Lattice parameters (Å, degrees): 8.497 9.018 9.018 112.10 90.00 90.00
Element x y z (fractional)
Pb1 0.816 0.073 0.927
Pb2 0.792 0.913 0.526
Pb3 0.614 0.687 0.802
Pb4 0.292 0.087 0.474
Pb5 0.114 0.313 0.198
Pb6 0.114 0.802 0.687
Pb7 0.614 0.198 0.313
Pb8 0.115 0.706 0.294
Pb9 0.316 0.927 0.073
Pb10 0.792 0.474 0.087
Pb11 0.292 0.526 0.913
Pb12 0.615 0.294 0.706
Sn1 0.331 0.467 0.533
Sn2 0.956 0.730 0.970
Sn3 0.456 0.970 0.730
Sn4 0.956 0.030 0.270
Sn5 0.831 0.533 0.467
Sn6 0.456 0.270 0.030
Na1 0.998 0.324 0.676
Na2 0.498 0.676 0.324

Entry 5:
First-principles (PBE) data for Na4Sn4Pb after structural relaxation, as listed in Alexandria via LeMat-Bulk.

## Properties
- Calculated formation energy: -121.3 kJ/mol of formula units
- Final energy: -26.3 eV/cell

Lattice parameters (Å, degrees): 4.972 7.500 7.500 83.69 70.64 70.64
Element x y z (fractional)
Pb1 0.500 0.500 0.000
Sn1 0.157 0.843 0.343
Sn2 0.500 0.843 0.657
Sn3 0.500 0.157 0.343
Sn4 0.843 0.157 0.657
Na1 0.167 0.165 0.000
Na2 0.168 0.500 0.665
Na3 0.833 0.835 0.000
Na4 0.832 0.500 0.335

Entry 6:
First-principles (PBE) data for Na3SnPb2 after structural relaxation, as listed in Alexandria via LeMat-Bulk.

## Properties
- Calculated formation energy: -36.6 kJ/mol of formula units
- Final energy: -31.5 eV/cell

Lattice parameters (Å, degrees): 3.473 9.746 12.724 59.43 82.16 79.73
Element x y z (fractional)
Sn1 0.564 0.503 0.370
Sn2 0.436 0.497 0.630
Pb1 0.396 0.826 0.382
Pb2 0.186 0.511 0.117
Pb3 0.604 0.174 0.618
Pb4 0.814 0.489 0.883
Na1 0.987 0.182 0.844
Na2 0.641 0.825 0.892
Na3 0.785 0.815 0.616
Na4 0.359 0.175 0.108
Na5 0.215 0.185 0.384
Na6 0.013 0.818 0.156

Entry 7:
First-principles (PBE) data for Na3Sn2Pb4 after structural relaxation, as listed in Alexandria via LeMat-Bulk.

## Properties
- Calculated formation energy: -88.5 kJ/mol of formula units
- Final energy: -55.4 eV/cell

Lattice parameters (Å, degrees): 5.837 9.679 9.679 74.22 82.65 82.65
Element x y z (fractional)
Pb1 0.971 0.183 0.930
Pb2 0.691 0.495 0.734
Pb3 0.029 0.817 0.070
Pb4 0.471 0.930 0.183
Pb5 0.309 0.505 0.266
Pb6 0.191 0.734 0.495
Pb7 0.529 0.070 0.817
Pb8 0.809 0.266 0.505
Sn1 0.373 0.143 0.414
Sn2 0.873 0.414 0.143
Sn3 0.627 0.857 0.586
Sn4 0.127 0.586 0.857
Na1 0.750 0.627 0.373
Na2 0.250 0.373 0.627
Na3 0.923 0.049 0.290
Na4 0.077 0.951 0.710
Na5 0.577 0.710 0.951
Na6 0.423 0.290 0.049

Entry 8:
First-principles (PBE) data for NaSn6Pb after structural relaxation, as listed in Alexandria via LeMat-Bulk.

## Properties
- Calculated formation energy: -4.3 kJ/mol of formula units
- Final energy: -29.1 eV/cell

Lattice parameters (Å, degrees): 5.489 6.852 6.852 118.94 90.00 90.00
Element x y z (fractional)
Sn1 0.500 0.880 0.575
Sn2 0.500 0.933 0.067
Sn3 0.000 0.063 0.382
Sn4 0.500 0.425 0.120
Sn5 0.000 0.618 0.937
Sn6 0.000 0.598 0.402
Na1 0.000 0.104 0.896
Pb1 0.500 0.378 0.622

Entry 9:
First-principles (PBE) data for NaSn4Pb2 after structural relaxation, as listed in Alexandria via LeMat-Bulk.

## Properties
- Calculated formation energy: 26.1 kJ/mol of formula units
- Final energy: -24.5 eV/cell

Lattice parameters (Å, degrees): 8.037 8.037 6.368 125.06 125.06 95.14
Element x y z (fractional)
Sn1 0.719 0.702 0.000
Sn2 0.678 0.866 0.544
Sn3 0.134 0.322 0.456
Sn4 0.298 0.281 0.000
Pb1 0.258 0.742 0.500
Pb2 0.758 0.242 0.500
Na1 0.154 0.846 0.000

Entry 10:
First-principles (PBE) data for Na3SnPb2 after structural relaxation, as listed in Alexandria via LeMat-Bulk.

## Properties
- Calculated formation energy: -89.1 kJ/mol of formula units
- Final energy: -32.6 eV/cell

Lattice parameters (Å, degrees): 5.745 5.745 11.211 101.13 101.17 104.21
Element x y z (fractional)
Pb1 0.545 0.294 0.089
Pb2 0.205 0.956 0.411
Pb3 0.795 0.044 0.589
Pb4 0.455 0.706 0.911
Na1 0.041 0.791 0.082
Na2 0.709 0.458 0.418
Na3 0.291 0.542 0.582
Na4 0.624 0.874 0.250
Na5 0.376 0.126 0.750
Na6 0.959 0.209 0.918
Sn1 0.125 0.375 0.250
Sn2 0.875 0.625 0.750

Entry 11:
First-principles (PBE) data for Na3SnPb after structural relaxation, as listed in Alexandria via LeMat-Bulk.

## Properties
- Calculated formation energy: -72.6 kJ/mol of formula units
- Final energy: -24.8 eV/cell

Lattice parameters (Å, degrees): 4.812 7.217 8.164 88.59 90.00 90.00
Element x y z (fractional)
Na1 0.624 0.998 0.162
Na2 0.624 0.600 0.979
Na3 0.124 0.296 0.076
Na4 0.124 0.498 0.668
Na5 0.624 0.803 0.571
Na6 0.124 0.100 0.486
Sn1 0.624 0.183 0.782
Sn2 0.124 0.916 0.865
Pb1 0.124 0.693 0.271
Pb2 0.624 0.405 0.377

Question: Which formula does entry 10 have?
Answer: Na3SnPb2

Question: Which value of calculated formation energy does entry 1 give?
Answer: -79.2 kJ/mol of formula units